[1]
This record from Alexandria describes Ac2MnNi4Ge3 after structural relaxation. The functional is PBE.

Output
As for the formation enthalpy at 0 K: -491 meV per atom. The total energy comes out at -59.28 eV for the cell shown. The value obtained for the density of states at the Fermi level is 7.68 states/eV per cell. The symmetry is P-4m2.

Cell lengths 4.267, 4.267, 10.028 Å; angles 90.00, 90.00, 90.00 degrees
Sites, in units of the cell vectors:
Ac1 0.000 0.500 0.248
Ac2 0.500 0.000 0.752
Mn1 0.000 0.000 0.500
Ni1 0.000 0.000 0.000
Ni2 0.000 0.500 0.631
Ni3 0.500 0.000 0.369
Ni4 0.500 0.500 0.000
Ge1 0.000 0.500 0.881
Ge2 0.500 0.000 0.119
Ge3 0.500 0.500 0.500

[2]
This record from Alexandria describes TlSb2PtI after structural relaxation. The functional is PBE.

Output
The total energy comes out at -11.58 eV for the cell shown. The value obtained for the density of states at the Fermi level is 5.26 states/eV per cell. The symmetry is P4/mmm. The value obtained for the formation energy from raw total energies is 128 kJ/mol of atoms.

Cell lengths 5.672, 5.672, 5.762 Å; angles 90.00, 90.00, 90.00 degrees
Sites, in units of the cell vectors:
Tl1 0.000 0.000 0.000
Sb1 0.000 0.500 0.000
Sb2 0.500 0.000 0.000
Pt1 0.500 0.500 0.500
I1 0.000 0.000 0.500

[3]
This record from Alexandria describes Pm3Nd3Sm after structural relaxation. The functional is PBE.

Output
As for the formation enthalpy at 0 K: 208 meV per atom. The total energy comes out at -63.63 eV for the cell shown. The value obtained for the density of states at the Fermi level is 22.04 states/eV per cell. The symmetry is R-3.

Cell lengths 9.015, 9.015, 9.015 Å; angles 58.74, 58.74, 58.74 degrees
Sites, in units of the cell vectors:
Pm1 0.062 0.822 0.292
Pm2 0.178 0.708 0.938
Pm3 0.292 0.062 0.822
Pm4 0.708 0.938 0.178
Pm5 0.822 0.292 0.062
Pm6 0.938 0.178 0.708
Nd1 0.069 0.567 0.721
Nd2 0.279 0.931 0.433
Nd3 0.433 0.279 0.931
Nd4 0.567 0.721 0.069
Nd5 0.721 0.069 0.567
Nd6 0.931 0.433 0.279
Sm1 0.347 0.347 0.347
Sm2 0.653 0.653 0.653

[4]
This record from Alexandria describes LiDyMnC after structural relaxation. The functional is PBE.

Output
As for the formation enthalpy at 0 K: -64 meV per atom. The total energy comes out at -50.33 eV for the cell shown. The value obtained for the density of states at the Fermi level is 5.93 states/eV per cell. The symmetry is P4/nmm.

Cell lengths 3.368, 3.368, 10.842 Å; angles 90.00, 90.00, 90.00 degrees
Sites, in units of the cell vectors:
Li1 0.250 0.750 0.000
Li2 0.750 0.250 0.000
Dy1 0.250 0.250 0.276
Dy2 0.750 0.750 0.724
Mn1 0.250 0.750 0.500
Mn2 0.750 0.250 0.500
C1 0.250 0.250 0.609
C2 0.750 0.750 0.391

[5]
This record from Alexandria describes Dy2ErOs after structural relaxation. The functional is PBE.

Output
As for the formation enthalpy at 0 K: 278 meV per atom. The total energy comes out at -23.88 eV for the cell shown. The value obtained for the density of states at the Fermi level is 6.31 states/eV per cell. The symmetry is R-3m.

Cell lengths 10.985, 10.985, 10.985 Å; angles 17.97, 17.97, 17.97 degrees
Sites, in units of the cell vectors:
Dy1 0.105 0.105 0.105
Dy2 0.895 0.895 0.895
Er1 0.000 0.000 0.000
Os1 0.500 0.500 0.500

[6]
This record from Alexandria describes Cs2CeGaSe4 after structural relaxation. The functional is PBE.

Output
The total energy comes out at -66.66 eV for the cell shown. The value obtained for the density of states at the Fermi level is 6.18 states/eV per cell. The symmetry is Imma. The value obtained for the formation energy from raw total energies is -105 kJ/mol of atoms.

Cell lengths 9.154, 9.154, 9.154 Å; angles 122.18, 119.48, 88.58 degrees
Sites, in units of the cell vectors:
Cs1 0.000 0.000 0.000
Cs2 0.500 0.000 0.000
Cs3 0.500 0.000 0.500
Cs4 0.500 0.500 0.500
Ce1 0.000 0.000 0.500
Ce2 0.000 0.500 0.000
Ga1 0.000 0.500 0.500
Ga2 0.500 0.500 0.000
Se1 0.188 0.737 0.451
Se2 0.215 0.263 0.951
Se3 0.224 0.279 0.555
Se4 0.224 0.669 0.945
Se5 0.776 0.331 0.055
Se6 0.776 0.721 0.445
Se7 0.785 0.737 0.049
Se8 0.812 0.263 0.549

[7]
This record from Alexandria describes Ac2NiP4Pt3 after structural relaxation. The functional is PBE.

Output
As for the formation enthalpy at 0 K: -975 meV per atom. The total energy comes out at -63.51 eV for the cell shown. The value obtained for the density of states at the Fermi level is 4.09 states/eV per cell. The symmetry is P-4m2.

Cell lengths 4.374, 4.374, 9.703 Å; angles 90.00, 90.00, 90.00 degrees
Sites, in units of the cell vectors:
Ac1 0.000 0.500 0.248
Ac2 0.500 0.000 0.752
Ni1 0.500 0.500 0.000
P1 0.000 0.000 0.500
P2 0.000 0.500 0.875
P3 0.500 0.000 0.125
P4 0.500 0.500 0.500
Pt1 0.000 0.000 0.000
Pt2 0.000 0.500 0.613
Pt3 0.500 0.000 0.387